Crystalline ScGeSe2N at its relaxed geometry. Source: Alexandria via LeMat-Bulk, functional GGA-PBE.

Cell lengths 5.1134, 5.1134, 3.6163 Å; angles 90.00, 90.00, 90.00 degrees
Atoms (fractional coordinates):
Sc1 0.0000 0.0000 0.0000
Ge1 0.5000 0.5000 0.5000
Se1 0.0000 0.5000 0.5000
Se2 0.5000 0.0000 0.5000
N1 0.5000 0.5000 0.0000

Calculated values
- Distance to the lowest polymorph of the same formula: 0.000 eV/atom
- ΔE_f (raw): 0.031 eV/atom
- Space-group type: P4/mmm
- Mass density: 5.08 g/cm³
- N(E_F): 2.94 states/eV/cell